! CsGe2Sb2, single point on PBEsol structure, DFT SCAN; values from VASP
&SYSTEM
  ibrav = 0, nat = 5, ntyp = 3
/
ATOMIC_SPECIES
Cs 132.91 Cs.upf
Sb 121.76 Sb.upf
Ge 72.64 Ge.upf
ATOMIC_POSITIONS angstrom
Cs 0.0000 0.0000 0.0000
Sb 0.0000 0.0000 4.5664
Sb 2.4749 2.4749 2.0085
Ge 0.0000 2.4749 3.2874
Ge 2.4749 0.0000 3.2874
CELL_PARAMETERS angstrom
4.9498 0.0000 0.0000
0.0000 4.9498 0.0000
-2.4749 -2.4749 6.5749
! Energy relative to the elements, uncorrected   -0.70 eV per formula unit
! Mass density   5.38 Mg/m³
! Total moment   0.0 μB per formula unit